No. 1
Here is a relaxed AgSI crystal from the Alexandria database. Energies are from PBE-GGA.

Cell and atoms, written as CIF:
```
data_AgSI
_symmetry_space_group_name_H-M 'P 1 21 1'
_symmetry_Int_Tables_number 4
_cell_length_a 4.297
_cell_length_b 10.598
_cell_length_c 4.366
_cell_angle_alpha 90.00
_cell_angle_beta 119.40
_cell_angle_gamma 90.00
loop_
_symmetry_equiv_pos_as_xyz
'x,y,z'
'-x,y+1/2,-z'
loop_
_atom_site_label
_atom_site_type_symbol
_atom_site_fract_x
_atom_site_fract_y
_atom_site_fract_z
Ag1 Ag 0.029 0.000 0.066
S1 S 0.357 0.056 0.724
I1 I 0.419 0.289 0.844
```

Values from the calculation:
- VASP energy: -2.74 eV/atom
- D(E_F): 0.238 states/eV per atom
- Volume: 28.870 A^3/atom
- Energy above the lowest structure with this stoichiometry: 123 meV/atom

=====

No. 2
Here is a relaxed TiHgAu2O6 crystal from the Alexandria database. Energies are from PBE-GGA.

Cell and atoms, written as CIF:
```
data_TiHgAu2O6
_symmetry_space_group_name_H-M 'C 1 2/c 1'
_symmetry_Int_Tables_number 15
_cell_length_a 8.570
_cell_length_b 10.491
_cell_length_c 6.375
_cell_angle_alpha 90.00
_cell_angle_beta 106.60
_cell_angle_gamma 90.00
loop_
_symmetry_equiv_pos_as_xyz
'x,y,z'
'-x,-y,-z'
'-x,y,-z+1/2'
'x,-y,z+1/2'
'x+1/2,y+1/2,z'
'-x+1/2,-y+1/2,-z'
'-x+1/2,y+1/2,-z+1/2'
'x+1/2,-y+1/2,z+1/2'
loop_
_atom_site_label
_atom_site_type_symbol
_atom_site_fract_x
_atom_site_fract_y
_atom_site_fract_z
Ti1 Ti 0.000 0.221 0.250
Hg1 Hg 0.000 0.423 0.750
Au1 Au 0.155 0.133 0.800
O1 O 0.080 0.374 0.111
O2 O 0.146 0.141 0.487
O3 O 0.175 0.136 0.114
```

Values from the calculation:
- VASP energy: -5.17 eV/atom
- D(E_F): 0.496 states/eV per atom
- Volume: 13.731 A^3/atom

=====

No. 3
Here is a relaxed NaAl11 crystal from the Alexandria database. Energies are from PBE-GGA.

Cell and atoms, written as CIF:
```
data_NaAl11
_symmetry_space_group_name_H-M 'I 41/a m d'
_symmetry_Int_Tables_number 141
_cell_length_a 11.114
_cell_length_b 11.114
_cell_length_c 7.283
_cell_angle_alpha 90.00
_cell_angle_beta 90.00
_cell_angle_gamma 90.00
loop_
_symmetry_equiv_pos_as_xyz
'x,y,z'
'-x,-y,-z'
'-y+1/4,x+3/4,z+1/4'
'y+1/4,-x+3/4,-z+1/4'
'-x+1/2,-y,z+1/2'
'x+1/2,y,-z+1/2'
'y+1/4,-x+1/4,z+3/4'
'-y+1/4,x+1/4,-z+3/4'
'x,-y,-z'
'-x,y,z'
'-y+1/4,-x+1/4,-z+3/4'
'y+1/4,x+1/4,z+3/4'
'-x+1/2,y,-z+1/2'
'x+1/2,-y,z+1/2'
'y+1/4,x+3/4,-z+1/4'
'-y+1/4,-x+3/4,z+1/4'
'x+1/2,y+1/2,z+1/2'
'-x+1/2,-y+1/2,-z+1/2'
'-y+3/4,x+1/4,z+3/4'
'y+3/4,-x+1/4,-z+3/4'
'-x,-y+1/2,z'
'x,y+1/2,-z'
'y+3/4,-x+3/4,z+1/4'
'-y+3/4,x+3/4,-z+1/4'
'x+1/2,-y+1/2,-z+1/2'
'-x+1/2,y+1/2,z+1/2'
'-y+3/4,-x+3/4,-z+1/4'
'y+3/4,x+3/4,z+1/4'
'-x,y+1/2,-z'
'x,-y+1/2,z'
'y+3/4,x+1/4,-z+3/4'
'-y+3/4,-x+1/4,z+3/4'
loop_
_atom_site_label
_atom_site_type_symbol
_atom_site_fract_x
_atom_site_fract_y
_atom_site_fract_z
Na1 Na 0.000 0.250 0.375
Al1 Al 0.000 0.000 0.000
Al2 Al 0.000 0.250 0.875
Al3 Al 0.122 0.044 0.677
```

Values from the calculation:
- VASP energy: -3.48 eV/atom
- D(E_F): 0.443 states/eV per atom
- Volume: 18.743 A^3/atom

=====

No. 4
Here is a relaxed BaInRh2 crystal from the Alexandria database. Energies are from PBE-GGA.

Cell and atoms, written as CIF:
```
data_BaInRh2
_symmetry_space_group_name_H-M 'C 1 m 1'
_symmetry_Int_Tables_number 8
_cell_length_a 7.867
_cell_length_b 4.541
_cell_length_c 6.375
_cell_angle_alpha 90.00
_cell_angle_beta 114.18
_cell_angle_gamma 90.00
loop_
_symmetry_equiv_pos_as_xyz
'x,y,z'
'x,-y,z'
'x+1/2,y+1/2,z'
'x+1/2,-y+1/2,z'
loop_
_atom_site_label
_atom_site_type_symbol
_atom_site_fract_x
_atom_site_fract_y
_atom_site_fract_z
Ba1 Ba 0.000 0.000 0.000
In1 In 0.308 0.500 0.425
Rh1 Rh 0.018 0.500 0.554
Rh2 Rh 0.198 0.000 0.595
```

Values from the calculation:
- VASP energy: -5.09 eV/atom
- D(E_F): 1.004 states/eV per atom
- Volume: 25.972 A^3/atom

=====

No. 5
Here is a relaxed SrNi2P crystal from the Alexandria database. Energies are from PBE-GGA.

Cell and atoms, written as CIF:
```
data_SrNi2P
_symmetry_space_group_name_H-M 'P 4 m m'
_symmetry_Int_Tables_number 99
_cell_length_a 3.902
_cell_length_b 3.902
_cell_length_c 5.077
_cell_angle_alpha 90.00
_cell_angle_beta 90.00
_cell_angle_gamma 90.00
loop_
_symmetry_equiv_pos_as_xyz
'x,y,z'
'-y,x,z'
'-x,-y,z'
'y,-x,z'
'-x,y,z'
'y,x,z'
'x,-y,z'
'-y,-x,z'
loop_
_atom_site_label
_atom_site_type_symbol
_atom_site_fract_x
_atom_site_fract_y
_atom_site_fract_z
Sr1 Sr 0.000 0.000 0.000
Ni1 Ni 0.000 0.500 0.490
P1 P 0.500 0.500 0.670
```

Values from the calculation:
- VASP energy: -5.14 eV/atom
- D(E_F): 0.782 states/eV per atom
- Volume: 19.323 A^3/atom

=====

No. 6
Here is a relaxed Pm2Ga3SiIr4 crystal from the Alexandria database. Energies are from PBE-GGA.

Cell and atoms, written as CIF:
```
data_Pm2Ga3SiIr4
_symmetry_space_group_name_H-M 'P -4 m 2'
_symmetry_Int_Tables_number 115
_cell_length_a 4.305
_cell_length_b 4.305
_cell_length_c 9.977
_cell_angle_alpha 90.00
_cell_angle_beta 90.00
_cell_angle_gamma 90.00
loop_
_symmetry_equiv_pos_as_xyz
'x,y,z'
'y,-x,-z'
'-x,-y,z'
'-y,x,-z'
'-x,y,z'
'-y,-x,-z'
'x,-y,z'
'y,x,-z'
loop_
_atom_site_label
_atom_site_type_symbol
_atom_site_fract_x
_atom_site_fract_y
_atom_site_fract_z
Pm1 Pm 0.000 0.500 0.241
Ga1 Ga 0.000 0.500 0.871
Ga2 Ga 0.500 0.500 0.500
Si1 Si 0.000 0.000 0.500
Ir1 Ir 0.000 0.000 0.000
Ir2 Ir 0.000 0.500 0.621
Ir3 Ir 0.500 0.500 0.000
```

Values from the calculation:
- VASP energy: -6.71 eV/atom
- D(E_F): 0.701 states/eV per atom
- Volume: 18.493 A^3/atom